## LaNiW2 (meta-GGA SCAN)

Data for a PBEsol-optimized structure of LaNiW2.

**E_form**: 0.834 eV per atom
**Electronic total energy**: -195.3 eV per formula unit
**Energy above the lowest structure with this stoichiometry**: 190 meV/atom

Lattice parameters (Å, degrees): 3.808 3.808 5.003 90.00 90.00 90.00
Sites, in units of the cell vectors:
La: 0.000 0.000 0.000
Ni: 0.500 0.500 0.000
W: 0.000 0.500 0.500
W: 0.500 0.000 0.500

## GaCoTe2 (meta-GGA SCAN)

Data for a PBEsol-optimized structure of GaCoTe2.

**Uncorrected formation energy**: 0.058 eV per atom
**Electronic total energy**: -107.9 eV per formula unit

Lattice parameters (Å, degrees): 8.986 8.986 8.986 23.23 23.23 23.23
Sites, in units of the cell vectors:
Ga: 0.000 0.000 0.000
Co: 0.500 0.500 0.500
Te: 0.115 0.115 0.115
Te: 0.885 0.885 0.885

## NaLiCl2 (meta-GGA SCAN)

Data for a PBEsol-optimized structure of NaLiCl2.

**Uncorrected formation energy**: -1.996 eV per atom
**Electronic total energy**: -30.5 eV per formula unit

Lattice parameters (Å, degrees): 3.799 3.799 5.369 90.00 90.00 90.00
Sites, in units of the cell vectors:
Na: 0.000 0.000 0.000
Li: 0.500 0.500 0.500
Cl: 0.000 0.000 0.500
Cl: 0.500 0.500 0.000

## Zr2FeSb (meta-GGA SCAN)

Data for a PBEsol-optimized structure of Zr2FeSb.

**Uncorrected formation energy**: -0.194 eV per atom
**Electronic total energy**: -117.6 eV per formula unit

Lattice parameters (Å, degrees): 3.100 3.100 7.898 90.00 90.00 99.72
Sites, in units of the cell vectors:
Zr: 0.000 0.000 0.205
Zr: 0.000 0.000 0.795
Fe: 0.500 0.500 0.000
Sb: 0.500 0.500 0.500

## SeI2OF (meta-GGA SCAN)

Data for a PBEsol-optimized structure of SeI2OF.

**Uncorrected formation energy**: 0.286 eV per atom
**Electronic total energy**: -101.9 eV per formula unit

Lattice parameters (Å, degrees): 5.565 5.565 4.111 90.00 90.00 90.00
Sites, in units of the cell vectors:
Se: 0.000 0.000 0.000
I: 0.000 0.500 0.000
I: 0.500 0.000 0.000
O: 0.500 0.500 0.500
F: 0.000 0.000 0.500

## LiMoPt2 (meta-GGA SCAN)

Data for a PBEsol-optimized structure of LiMoPt2.

**E_form**: -0.537 eV per atom
**Electronic total energy**: -179.8 eV per formula unit
**Energy above the lowest structure with this stoichiometry**: 0 meV/atom

Lattice parameters (Å, degrees): 2.785 2.785 7.066 90.00 90.00 90.00
Sites, in units of the cell vectors:
Li: 0.000 0.000 0.000
Mo: 0.000 0.000 0.500
Pt: 0.500 0.500 0.236
Pt: 0.500 0.500 0.764

## Mg2POs (meta-GGA SCAN)

Data for a PBEsol-optimized structure of Mg2POs.

**E_form**: 0.062 eV per atom
**Electronic total energy**: -92.0 eV per formula unit

Lattice parameters (Å, degrees): 4.960 4.960 4.960 135.76 135.76 64.36
Sites, in units of the cell vectors:
Mg: 0.250 0.750 0.500
Mg: 0.750 0.250 0.500
P: 0.000 0.000 0.000
Os: 0.500 0.500 0.000

## LiBeSi (meta-GGA SCAN)

Data for a PBEsol-optimized structure of LiBeSi.

**Uncorrected formation energy**: 0.147 eV per atom
**Electronic total energy**: -16.3 eV per formula unit

Lattice parameters (Å, degrees): 4.269 4.269 4.269 143.28 130.19 63.46
Sites, in units of the cell vectors:
Li: 0.000 0.000 0.000
Be: 0.324 0.324 0.000
Si: 0.671 0.671 0.000

## MoOsSe (meta-GGA SCAN)

Data for a PBEsol-optimized structure of MoOsSe.

**Uncorrected formation energy**: 0.712 eV per atom
**Electronic total energy**: -124.7 eV per formula unit

Lattice parameters (Å, degrees): 7.262 7.036 2.768 83.47 74.28 22.25
Sites, in units of the cell vectors:
Mo: 0.000 0.000 0.000
Os: 0.350 0.350 0.650
Se: 0.665 0.665 0.335

## MoP3 (meta-GGA SCAN)

Data for a PBEsol-optimized structure of MoP3.

**E_form**: 0.576 eV per atom
**Electronic total energy**: -63.8 eV per formula unit
**Energy above the lowest structure with this stoichiometry**: 290 meV/atom

Lattice parameters (Å, degrees): 2.660 2.660 8.587 90.00 90.00 107.22
Sites, in units of the cell vectors:
Mo: 0.000 0.000 0.000
P: 0.000 0.000 0.500
P: 0.500 0.500 0.227
P: 0.500 0.500 0.773

## LaSc2Rh (meta-GGA SCAN)

Data for a PBEsol-optimized structure of LaSc2Rh.

**E_form**: -0.258 eV per atom
**Electronic total energy**: -106.4 eV per formula unit

Lattice parameters (Å, degrees): 3.854 4.517 4.972 90.00 90.00 90.00
Sites, in units of the cell vectors:
La: 0.000 0.000 0.000
Sc: 0.000 0.500 0.500
Sc: 0.500 0.000 0.500
Rh: 0.500 0.500 0.000

## NbZn2As2 (meta-GGA SCAN)

Data for a PBEsol-optimized structure of NbZn2As2.

**E_form**: 0.035 eV per atom
**Electronic total energy**: -100.4 eV per formula unit

Lattice parameters (Å, degrees): 7.775 7.775 7.775 154.57 154.57 36.27
Sites, in units of the cell vectors:
Nb: 0.000 0.000 0.000
Zn: 0.250 0.750 0.500
Zn: 0.750 0.250 0.500
As: 0.410 0.410 0.000
As: 0.590 0.590 0.000

## Nb3TlCr (meta-GGA SCAN)

Data for a PBEsol-optimized structure of Nb3TlCr.

**E_form**: 0.743 eV per atom
**Electronic total energy**: -186.4 eV per formula unit

Lattice parameters (Å, degrees): 4.602 4.602 4.602 90.00 90.00 90.00
Sites, in units of the cell vectors:
Nb: 0.000 0.000 0.500
Nb: 0.000 0.500 0.000
Nb: 0.500 0.000 0.000
Tl: 0.500 0.500 0.500
Cr: 0.000 0.000 0.000

## ScZn (meta-GGA SCAN)

Data for a PBEsol-optimized structure of ScZn.

**E_form**: -0.231 eV per atom
**Electronic total energy**: -28.2 eV per formula unit

Lattice parameters (Å, degrees): 3.051 3.051 7.856 90.00 90.00 90.00
Sites, in units of the cell vectors:
Sc: 0.250 0.250 0.157
Sc: 0.750 0.750 0.843
Zn: 0.250 0.250 0.596
Zn: 0.750 0.750 0.404

## LaDyTl2 (meta-GGA SCAN)

Data for a PBEsol-optimized structure of LaDyTl2.

**E_form**: -0.581 eV per atom
**Electronic total energy**: -237.9 eV per formula unit

Lattice parameters (Å, degrees): 5.399 5.399 5.399 60.00 60.00 60.00
Sites, in units of the cell vectors:
La: 0.000 0.000 0.000
Dy: 0.500 0.500 0.500
Tl: 0.250 0.250 0.250
Tl: 0.750 0.750 0.750

## ScSe2Cl (meta-GGA SCAN)

Data for a PBEsol-optimized structure of ScSe2Cl.

**Uncorrected formation energy**: 0.287 eV per atom
**Electronic total energy**: -61.2 eV per formula unit
**Energy above the lowest structure with this stoichiometry**: 1186 meV/atom

Lattice parameters (Å, degrees): 9.761 9.761 9.761 19.20 19.20 19.20
Sites, in units of the cell vectors:
Sc: 0.000 0.000 0.000
Se: 0.089 0.089 0.089
Se: 0.911 0.911 0.911
Cl: 0.500 0.500 0.500

## AlZnCd (meta-GGA SCAN)

Data for a PBEsol-optimized structure of AlZnCd.

**E_form**: 0.067 eV per atom
**Electronic total energy**: -51.5 eV per formula unit
**Energy above the lowest structure with this stoichiometry**: 0 meV/atom

Lattice parameters (Å, degrees): 4.333 4.333 4.333 60.00 60.00 60.00
Sites, in units of the cell vectors:
Al: 0.000 0.000 0.000
Zn: 0.750 0.750 0.750
Cd: 0.500 0.500 0.500

## Li4Mn3Cr3Co2O16 (meta-GGA SCAN)

Data for a PBEsol-optimized structure of Li4Mn3Cr3Co2O16.

**Uncorrected formation energy**: -2.164 eV per atom
**Electronic total energy**: -314.4 eV per formula unit

Lattice parameters (Å, degrees): 5.681 5.681 9.109 90.35 90.35 59.75
Sites, in units of the cell vectors:
Li: 0.000 0.000 0.000
Li: 0.002 0.002 0.502
Li: 0.330 0.330 0.394
Li: 0.664 0.664 0.896
Mn: 0.168 0.168 0.716
Mn: 0.337 0.828 0.216
Mn: 0.828 0.337 0.216
Cr: 0.171 0.658 0.713
Cr: 0.658 0.171 0.713
Cr: 0.829 0.829 0.215
Co: 0.333 0.333 0.987
Co: 0.666 0.666 0.487
O: 0.001 0.001 0.313
O: 0.002 0.002 0.812
O: 0.042 0.475 0.845
O: 0.166 0.166 0.105
O: 0.169 0.666 0.103
O: 0.327 0.327 0.603
O: 0.337 0.832 0.604
O: 0.475 0.042 0.845
O: 0.476 0.476 0.847
O: 0.516 0.954 0.344
O: 0.520 0.520 0.345
O: 0.661 0.661 0.107
O: 0.666 0.169 0.103
O: 0.832 0.337 0.604
O: 0.833 0.833 0.604
O: 0.954 0.516 0.344

## MnV3Cu2P6O24 (meta-GGA SCAN)

Data for a PBEsol-optimized structure of MnV3Cu2P6O24.

**Uncorrected formation energy**: -2.289 eV per atom
**Electronic total energy**: -395.5 eV per formula unit

Lattice parameters (Å, degrees): 8.410 8.410 8.410 60.48 60.48 60.48
Sites, in units of the cell vectors:
Mn: 0.000 0.000 0.000
V: 0.280 0.280 0.280
V: 0.499 0.499 0.499
V: 0.780 0.780 0.780
Cu: 0.141 0.141 0.141
Cu: 0.639 0.639 0.639
P: 0.100 0.390 0.680
P: 0.179 0.891 0.602
P: 0.390 0.680 0.100
P: 0.602 0.179 0.891
P: 0.680 0.100 0.390
P: 0.891 0.602 0.179
O: 0.015 0.830 0.641
O: 0.057 0.404 0.196
O: 0.091 0.223 0.875
O: 0.140 0.332 0.514
O: 0.145 0.951 0.762
O: 0.196 0.057 0.404
O: 0.223 0.875 0.091
O: 0.262 0.458 0.634
O: 0.332 0.514 0.140
O: 0.377 0.725 0.580
O: 0.404 0.196 0.057
O: 0.458 0.634 0.262
O: 0.514 0.140 0.332
O: 0.555 0.700 0.902
O: 0.580 0.377 0.725
O: 0.634 0.262 0.458
O: 0.641 0.015 0.830
O: 0.700 0.902 0.555
O: 0.725 0.580 0.377
O: 0.762 0.145 0.951
O: 0.830 0.641 0.015
O: 0.875 0.091 0.223
O: 0.902 0.555 0.700
O: 0.951 0.762 0.145

## AsSe2IBr (meta-GGA SCAN)

Data for a PBEsol-optimized structure of AsSe2IBr.

**Uncorrected formation energy**: 1.001 eV per atom
**Electronic total energy**: -111.5 eV per formula unit

Lattice parameters (Å, degrees): 5.416 5.416 5.351 90.00 90.00 90.00
Sites, in units of the cell vectors:
As: 0.000 0.000 0.000
Se: 0.000 0.500 0.500
Se: 0.500 0.000 0.500
I: 0.500 0.500 0.500
Br: 0.500 0.500 0.000